A plane-wave DFT calculation with PBE-GGA was carried out for TbSm2Al2 after structural relaxation.

Computed properties:
For the excess energy over the best structure of this formula in the dataset, the calculation gives 0.1660 eV per atom. The energy of formation from the pure elements comes out at -0.15 eV/atom. Its density is 5.92 g/cm3.

Cell and atoms, written as POSCAR:
```
TbSm2Al2
1.0
3.664 0.000 0.000
0.000 6.186 0.664
0.000 0.046 12.719
Tb Sm Al
2 4 4
Direct
0.250 0.538 0.211
0.750 0.462 0.789
0.250 0.930 0.858
0.750 0.070 0.142
0.250 0.223 0.572
0.750 0.777 0.428
0.250 0.712 0.627
0.750 0.288 0.373
0.250 0.345 0.984
0.750 0.655 0.016
```


A plane-wave DFT calculation with PBE-GGA was carried out for SbTeW after structural relaxation.

Computed properties:
For the excess energy over the best structure of this formula in the dataset, the calculation gives 0.5557 eV per atom. Its density is 9.79 g/cm3.

Cell and atoms, written as POSCAR:
```
SbTeW
1.0
8.344 0.025 -0.017
7.486 3.090 -0.026
0.858 -1.070 2.872
Sb Te W
1 1 1
Direct
0.031 0.031 0.969
0.302 0.302 0.698
0.667 0.667 0.333
```


A plane-wave DFT calculation with PBE-GGA was carried out for CsSnPb2 after structural relaxation.

Computed properties:
The energy of formation from the pure elements comes out at -0.01 eV/atom. Its density is 6.89 g/cm3.

Cell and atoms, written as POSCAR:
```
CsSnPb2
1.0
5.319 0.000 0.000
0.000 5.319 0.000
0.000 0.000 11.347
Cs Sn Pb
2 2 4
Direct
0.500 0.000 0.242
0.000 0.500 0.758
0.500 0.000 0.654
0.000 0.500 0.346
0.500 0.000 0.931
0.000 0.500 0.069
0.000 0.000 0.500
0.500 0.500 0.500
```


A plane-wave DFT calculation with PBE-GGA was carried out for HoCu4Au8 after structural relaxation.

Computed properties:
The energy of formation from the pure elements comes out at -0.24 eV/atom. Its density is 14.83 g/cm3.

Cell and atoms, written as POSCAR:
```
HoCu4Au8
1.0
-0.967 -3.038 4.246
-3.098 -6.049 -1.713
5.333 -4.309 1.452
Ho Cu Au
1 4 8
Direct
0.000 0.000 0.000
0.000 0.000 0.500
0.500 0.000 0.500
0.000 0.500 0.000
0.500 0.500 0.000
0.000 0.335 0.665
0.000 0.665 0.335
0.335 0.665 0.665
0.665 0.335 0.335
0.500 0.782 0.218
0.500 0.218 0.782
0.282 0.218 0.218
0.718 0.782 0.782
```


A plane-wave DFT calculation with PBE-GGA was carried out for La4Y3ScS8 after structural relaxation.

Computed properties:
The value obtained for the total energy is -6.960 eV/atom. Its density is 5.11 g/cm3.

Cell and atoms, written as POSCAR:
```
La4Y3ScS8
1.0
-3.708 -4.987 -4.967
-4.478 -2.782 6.136
0.105 7.804 -1.543
La Y Sc S
4 3 1 8
Direct
0.500 0.000 0.000
0.500 0.000 0.500
0.000 0.000 0.000
0.000 0.000 0.500
0.500 0.500 0.000
0.500 0.500 0.500
0.000 0.500 0.500
0.000 0.500 0.000
0.238 0.725 0.987
0.238 0.725 0.475
0.257 0.270 0.513
0.750 0.725 0.987
0.250 0.275 0.013
0.743 0.730 0.487
0.762 0.275 0.525
0.762 0.275 0.013
```


A plane-wave DFT calculation with PBE-GGA was carried out for SnBiS3 after structural relaxation.

Computed properties:
For the excess energy over the best structure of this formula in the dataset, the calculation gives 0.3371 eV per atom. Its density is 5.74 g/cm3.

Cell and atoms, written as POSCAR:
```
SnBiS3
1.0
-0.384 -3.995 -2.929
1.945 -2.823 3.596
-4.556 -0.869 1.782
S Bi Sn
3 1 1
Direct
0.000 0.500 0.000
0.000 0.000 0.500
0.500 0.000 0.000
0.500 0.500 0.500
0.000 0.000 0.000
```